(1)
# CePa2Si2Ir7, optimized geometry, DFT PBE-GGA
# ΔE_f (raw)   -0.77 eV/atom
# Volume   18.0 A^3/atom
data_CePa2Si2Ir7
_space_group_name_H-M_alt 'P 1'
_space_group_IT_number 1
_cell_length_a 4.026
_cell_length_b 4.026
_cell_length_c 13.566
_cell_angle_alpha 82.12
_cell_angle_beta 82.12
_cell_angle_gamma 89.29
loop_
_space_group_symop_operation_xyz
'x,y,z'
loop_
_atom_site_label
_atom_site_type_symbol
_atom_site_fract_x
_atom_site_fract_y
_atom_site_fract_z
_atom_site_occupancy
Ce1 Ce 0.000 0.000 0.000 1
Pa1 Pa 0.848 0.848 0.345 1
Pa2 Pa 0.152 0.152 0.655 1
Si1 Si 0.619 0.619 0.743 1
Si2 Si 0.381 0.381 0.257 1
Ir1 Ir 0.500 0.500 0.000 1
Ir2 Ir 0.354 0.354 0.431 1
Ir3 Ir 0.646 0.646 0.569 1
Ir4 Ir 0.925 0.426 0.163 1
Ir5 Ir 0.426 0.925 0.163 1
Ir6 Ir 0.574 0.075 0.837 1
Ir7 Ir 0.075 0.574 0.837 1

***

(2)
# TbCePa2Ir4, optimized geometry, DFT PBE-GGA
# Energy of formation   -0.783 eV/atom
# Volume   22.4 A^3/atom
data_TbCePa2Ir4
_space_group_name_H-M_alt 'P 1'
_space_group_IT_number 1
_cell_length_a 5.679
_cell_length_b 5.679
_cell_length_c 6.962
_cell_angle_alpha 116.11
_cell_angle_beta 116.11
_cell_angle_gamma 85.45
loop_
_space_group_symop_operation_xyz
'x,y,z'
loop_
_atom_site_label
_atom_site_type_symbol
_atom_site_fract_x
_atom_site_fract_y
_atom_site_fract_z
_atom_site_occupancy
Tb1 Tb 0.002 0.002 0.000 1
Ce1 Ce 0.428 0.428 0.000 1
Pa1 Pa 0.164 0.664 0.500 1
Pa2 Pa 0.664 0.164 0.500 1
Ir1 Ir 0.908 0.507 0.000 1
Ir2 Ir 0.507 0.908 0.000 1
Ir3 Ir 0.156 0.156 0.488 1
Ir4 Ir 0.668 0.668 0.512 1

***

(3)
# CePaTeIr, optimized geometry, DFT PBE-GGA
# ΔE_f (raw)   -0.89 eV/atom
# Volume   27.5 A^3/atom
data_CePaTeIr
_space_group_name_H-M_alt 'P 1'
_space_group_IT_number 1
_cell_length_a 4.073
_cell_length_b 4.074
_cell_length_c 8.013
_cell_angle_alpha 90.01
_cell_angle_beta 104.73
_cell_angle_gamma 119.99
loop_
_space_group_symop_operation_xyz
'x,y,z'
loop_
_atom_site_label
_atom_site_type_symbol
_atom_site_fract_x
_atom_site_fract_y
_atom_site_fract_z
_atom_site_occupancy
Ce1 Ce 0.497 0.147 0.659 1
Pa1 Pa 0.104 0.950 0.070 1
Te1 Te 0.963 0.380 0.358 1
Ir1 Ir 0.313 0.555 0.883 1

***

(4)
# Ce5IrPb3, optimized geometry, DFT PBE-GGA
# Energy of formation   -0.506 eV/atom
# Volume   28.9 A^3/atom
data_Ce5IrPb3
_space_group_name_H-M_alt 'P 1'
_space_group_IT_number 1
_cell_length_a 6.478
_cell_length_b 9.637
_cell_length_c 9.637
_cell_angle_alpha 120.00
_cell_angle_beta 90.00
_cell_angle_gamma 90.00
loop_
_space_group_symop_operation_xyz
'x,y,z'
loop_
_atom_site_label
_atom_site_type_symbol
_atom_site_fract_x
_atom_site_fract_y
_atom_site_fract_z
_atom_site_occupancy
Ce1 Ce 0.000 0.333 0.667 1
Ce2 Ce 0.500 0.667 0.333 1
Ce3 Ce 0.000 0.667 0.333 1
Ce4 Ce 0.500 0.333 0.667 1
Ce5 Ce 0.750 0.757 0.000 1
Ce6 Ce 0.750 0.243 0.243 1
Ce7 Ce 0.750 0.000 0.757 1
Ce8 Ce 0.250 0.243 0.000 1
Ce9 Ce 0.250 0.757 0.757 1
Ce10 Ce 0.250 0.000 0.243 1
Ir1 Ir 0.000 0.000 0.000 1
Ir2 Ir 0.500 0.000 0.000 1
Pb1 Pb 0.750 0.397 0.000 1
Pb2 Pb 0.750 0.603 0.603 1
Pb3 Pb 0.750 0.000 0.397 1
Pb4 Pb 0.250 0.603 0.000 1
Pb5 Pb 0.250 0.397 0.397 1
Pb6 Pb 0.250 0.000 0.603 1

***

(5)
# Ce6IrPb2, optimized geometry, DFT PBE-GGA
# Energy of formation   -0.306 eV/atom
# Volume   29.3 A^3/atom
data_Ce6IrPb2
_space_group_name_H-M_alt 'P 1'
_space_group_IT_number 1
_cell_length_a 6.108
_cell_length_b 8.272
_cell_length_c 10.490
_cell_angle_alpha 90.00
_cell_angle_beta 94.81
_cell_angle_gamma 90.00
loop_
_space_group_symop_operation_xyz
'x,y,z'
loop_
_atom_site_label
_atom_site_type_symbol
_atom_site_fract_x
_atom_site_fract_y
_atom_site_fract_z
_atom_site_occupancy
Ce1 Ce 0.890 0.984 0.246 1
Ce2 Ce 0.835 0.679 0.532 1
Ce3 Ce 0.926 0.670 0.961 1
Ce4 Ce 0.574 0.170 0.539 1
Ce5 Ce 0.665 0.179 0.968 1
Ce6 Ce 0.610 0.484 0.254 1
Ce7 Ce 0.110 0.016 0.754 1
Ce8 Ce 0.165 0.321 0.468 1
Ce9 Ce 0.074 0.330 0.039 1
Ce10 Ce 0.426 0.830 0.461 1
Ce11 Ce 0.335 0.821 0.032 1
Ce12 Ce 0.390 0.516 0.746 1
Ir1 Ir 0.500 0.500 0.000 1
Ir2 Ir 0.000 0.000 0.500 1
Pb1 Pb 0.896 0.380 0.737 1
Pb2 Pb 0.604 0.880 0.763 1
Pb3 Pb 0.396 0.120 0.237 1
Pb4 Pb 0.104 0.620 0.263 1

***

(6)
# Ce5IrPb2, optimized geometry, DFT PBE-GGA
# Energy of formation   -0.023 eV/atom
# Volume   36.4 A^3/atom
data_Ce5IrPb2
_space_group_name_H-M_alt 'P 1'
_space_group_IT_number 1
_cell_length_a 5.451
_cell_length_b 9.083
_cell_length_c 12.328
_cell_angle_alpha 90.00
_cell_angle_beta 90.00
_cell_angle_gamma 107.46
loop_
_space_group_symop_operation_xyz
'x,y,z'
loop_
_atom_site_label
_atom_site_type_symbol
_atom_site_fract_x
_atom_site_fract_y
_atom_site_fract_z
_atom_site_occupancy
Ce1 Ce 0.948 0.896 0.906 1
Ce2 Ce 0.948 0.896 0.594 1
Ce3 Ce 0.273 0.546 0.440 1
Ce4 Ce 0.273 0.546 0.060 1
Ce5 Ce 0.688 0.376 0.250 1
Ce6 Ce 0.312 0.624 0.750 1
Ce7 Ce 0.727 0.454 0.560 1
Ce8 Ce 0.727 0.454 0.940 1
Ce9 Ce 0.052 0.104 0.094 1
Ce10 Ce 0.052 0.104 0.406 1
Ir1 Ir 0.831 0.662 0.750 1
Ir2 Ir 0.169 0.338 0.250 1
Pb1 Pb 0.866 0.732 0.370 1
Pb2 Pb 0.866 0.732 0.130 1
Pb3 Pb 0.134 0.268 0.630 1
Pb4 Pb 0.134 0.268 0.870 1

***

(7)
# CeIrPb, optimized geometry, DFT PBE-GGA
# Energy of formation   -0.286 eV/atom
# Volume   27.2 A^3/atom
data_CeIrPb
_space_group_name_H-M_alt 'P 1'
_space_group_IT_number 1
_cell_length_a 3.854
_cell_length_b 3.854
_cell_length_c 10.966
_cell_angle_alpha 90.00
_cell_angle_beta 90.00
_cell_angle_gamma 90.00
loop_
_space_group_symop_operation_xyz
'x,y,z'
loop_
_atom_site_label
_atom_site_type_symbol
_atom_site_fract_x
_atom_site_fract_y
_atom_site_fract_z
_atom_site_occupancy
Ce1 Ce 0.000 0.500 0.611 1
Ce2 Ce 0.500 0.000 0.389 1
Ir1 Ir 0.500 0.000 0.663 1
Ir2 Ir 0.000 0.500 0.337 1
Pb1 Pb 0.000 0.500 0.908 1
Pb2 Pb 0.500 0.000 0.092 1

***

(8)
# Ce5IrPb4, optimized geometry, DFT PBE-GGA
# Energy of formation   -0.342 eV/atom
# Volume   31.2 A^3/atom
data_Ce5IrPb4
_space_group_name_H-M_alt 'P 1'
_space_group_IT_number 1
_cell_length_a 6.375
_cell_length_b 7.687
_cell_length_c 7.687
_cell_angle_alpha 80.10
_cell_angle_beta 65.50
_cell_angle_gamma 65.50
loop_
_space_group_symop_operation_xyz
'x,y,z'
loop_
_atom_site_label
_atom_site_type_symbol
_atom_site_fract_x
_atom_site_fract_y
_atom_site_fract_z
_atom_site_occupancy
Ce1 Ce 0.904 0.358 0.837 1
Ce2 Ce 0.262 0.837 0.642 1
Ce3 Ce 0.740 0.163 0.358 1
Ce4 Ce 0.098 0.642 0.163 1
Ce5 Ce 0.501 0.000 0.000 1
Ir1 Ir 0.001 0.000 0.000 1
Pb1 Pb 0.421 0.395 0.764 1
Pb2 Pb 0.816 0.764 0.605 1
Pb3 Pb 0.186 0.236 0.395 1
Pb4 Pb 0.581 0.605 0.236 1